[1]
Density functional theory data (PBE-GGA) for an optimized crystal structure of MgScBr2.

The value obtained for the energy relative to the elements, uncorrected is -0.147 eV per atom. The space-group type is No. 216. The total energy comes out at -2.96 eV/atom. As for the excess energy over the best structure of this formula in the dataset: 835 meV/atom. The crystal system is cubic. Its density of states at the Fermi level is 5.40 states/eV per cell.

```
MgScBr2
1.0
-4.646 -0.277 2.517
-4.501 -0.236 -2.771
-2.806 -4.484 -0.111
Mg Br Sc
1 2 1
Cartesian
-5.976 -2.499 -0.183
0.000 0.000 0.000
-2.988 -1.249 -0.091
-8.964 -3.748 -0.274
```

[2]
Density functional theory data (PBE-GGA) for an optimized crystal structure of Sr9H14Pt2.

The space-group type is No. 147. The total energy comes out at -3.37 eV/atom. The crystal system is trigonal. Its density of states at the Fermi level is 0.00 states/eV per cell.

```
Sr9H14Pt2
1.0
-4.714 1.549 5.464
1.283 -7.019 -1.888
7.947 -0.424 6.976
H Sr Pt
14 9 2
Cartesian
7.242 -5.922 5.157
-0.411 -3.013 6.895
5.094 -0.272 4.472
0.201 0.493 6.410
6.371 -2.273 6.371
2.853 -0.152 2.505
-0.166 -0.509 2.446
-1.855 -3.621 4.182
4.681 -5.384 8.107
2.636 -3.969 6.201
4.927 -2.881 3.658
4.314 -6.387 4.142
1.880 -1.925 4.351
-2.727 0.028 5.396
1.502 -3.502 8.515
0.526 -4.101 4.766
3.013 -2.392 2.038
3.989 -1.793 5.786
1.865 0.547 8.348
2.651 -6.441 2.204
6.582 -4.552 6.970
-2.067 -1.341 3.583
0.000 0.000 0.000
3.790 -1.654 8.724
0.726 -4.240 1.828
```

[3]
Density functional theory data (PBE-GGA) for an optimized crystal structure of SrVP2Pd.

The space-group type is No. 123. The total energy comes out at -4.56 eV/atom. The crystal system is tetragonal. Its density of states at the Fermi level is 5.77 states/eV per cell.

```
SrVP2Pd
1.0
-2.747 1.546 -3.549
-3.528 -3.732 1.105
-2.196 2.961 2.989
P V Sr Pd
2 1 1 1
Cartesian
-1.373 0.773 -1.775
-1.098 1.481 1.495
-4.236 0.388 0.273
-1.764 -1.866 0.553
0.000 0.000 0.000
```

[4]
Density functional theory data (PBE-GGA) for an optimized crystal structure of AcSnH8Rh2.

The space-group type is No. 148. The total energy comes out at -4.23 eV/atom. The crystal system is trigonal. Its density of states at the Fermi level is 1.04 states/eV per cell.

```
AcSnH8Rh2
1.0
-1.729 -1.150 4.557
3.157 -1.590 3.548
1.352 4.764 4.467
H Sn Rh Ac
8 1 2 1
Cartesian
0.564 3.290 6.564
2.617 3.113 6.115
0.163 -1.089 6.457
1.936 0.557 9.130
2.215 -1.266 6.008
0.843 1.467 3.442
0.867 -0.599 4.531
1.912 2.623 8.041
0.000 0.000 0.000
2.179 2.130 9.619
0.600 -0.106 2.953
1.390 1.012 6.286
```